Entry 1:
Density functional theory data (PBE) for a relaxed Ca2MgAg5 crystal.

Properties
**Crystal system**: tetragonal
**Energy of formation**: -0.209 eV/atom
**Space group**: No. 139

Cell lengths 5.0635, 5.0635, 7.6614 Å; angles 109.30, 109.30, 90.00 degrees
Sites, in units of the cell vectors:
Ag  0.3916  0.8916  0.7832
Ag  0.5000  0.5000  0.0000
Ag  0.8916  0.3916  0.7832
Ag  0.1084  0.6084  0.2168
Ag  0.6084  0.1084  0.2168
Ca  0.7438  0.7438  0.4875
Ca  0.2562  0.2562  0.5125
Mg  0.0000  0.0000  0.0000



Entry 2:
Density functional theory data (PBE) for a relaxed Ca3Mg2Ag crystal.

Properties
**Relative energy among the computed polymorphs**: 11 meV/atom
**Crystal system**: monoclinic
**Energy of formation**: -0.147 eV/atom
**Space group**: No. 10

Cell lengths 5.5050, 8.6884, 7.6912 Å; angles 90.00, 90.00, 71.70 degrees
Sites, in units of the cell vectors:
Mg  0.6658  0.6690  0.5000
Mg  0.0000  0.0000  0.5000
Mg  0.0000  0.0000  0.0000
Mg  0.3342  0.3310  0.5000
Ca  0.5000  0.0000  0.7573
Ca  0.8278  0.3438  0.2348
Ca  0.8278  0.3438  0.7652
Ca  0.1722  0.6562  0.7652
Ca  0.5000  0.0000  0.2427
Ca  0.1722  0.6562  0.2348
Ag  0.6576  0.6854  0.0000
Ag  0.3424  0.3146  0.0000



Entry 3:
Density functional theory data (PBE) for a relaxed Ca6Mg3Ag crystal.

Properties
**Crystal system**: monoclinic
**Energy of formation**: -0.088 eV/atom
**Space group**: No. 11

Cell lengths 5.6953, 9.5412, 12.6696 Å; angles 110.77, 90.00, 90.00 degrees
Sites, in units of the cell vectors:
Ca  0.2500  0.4889  0.0843
Ca  0.7500  0.1482  0.6736
Ca  0.7500  0.7626  0.5001
Ca  0.7500  0.8887  0.1431
Ca  0.7500  0.5111  0.9157
Ca  0.7500  0.8609  0.8410
Ca  0.2500  0.1113  0.8569
Ca  0.2500  0.6756  0.6566
Ca  0.2500  0.8518  0.3264
Ca  0.2500  0.1391  0.1590
Ca  0.7500  0.3244  0.3434
Ca  0.2500  0.2374  0.4999
Mg  0.2500  0.5211  0.3631
Mg  0.2500  0.4169  0.7768
Mg  0.7500  0.5831  0.2232
Mg  0.7500  0.4789  0.6369
Mg  0.2500  0.7644  0.9610
Mg  0.7500  0.2356  0.0390
Ag  0.2500  0.9621  0.5940
Ag  0.7500  0.0379  0.4060



Entry 4:
Density functional theory data (PBE) for a relaxed Ca4MgAg5 crystal.

Properties
**Crystal system**: tetragonal
**Energy of formation**: -0.291 eV/atom
**Space group**: No. 123

Cell lengths 3.6521, 3.6521, 18.1084 Å; angles 90.00, 90.00, 90.00 degrees
Sites, in units of the cell vectors:
Ag  0.5000  0.5000  0.0814
Ag  0.5000  0.5000  0.5000
Ag  0.5000  0.5000  0.9186
Ag  0.5000  0.5000  0.7074
Ag  0.5000  0.5000  0.2926
Ca  0.0000  0.0000  0.3965
Ca  0.0000  0.0000  0.6035
Ca  0.0000  0.0000  0.8109
Ca  0.0000  0.0000  0.1891
Mg  0.0000  0.0000  0.0000



Entry 5:
Density functional theory data (PBE) for a relaxed Ca4Mg2Ag5 crystal.

Properties
**Crystal system**: orthorhombic
**Energy of formation**: -0.254 eV/atom
**Space group**: No. 72

Cell lengths 5.8842, 9.3040, 11.2946 Å; angles 114.32, 105.10, 90.00 degrees
Sites, in units of the cell vectors:
Ag  0.7500  0.0000  0.0000
Ag  0.0736  0.4913  0.1472
Ag  0.7170  0.4196  0.4341
Ag  0.5736  0.6558  0.1472
Ag  0.2500  0.0000  0.0000
Ag  0.2830  0.5804  0.5659
Ag  0.2170  0.0145  0.4341
Ag  0.4264  0.3442  0.8528
Ag  0.7830  0.9855  0.5659
Ag  0.9264  0.5087  0.8528
Ca  0.8488  0.7259  0.6976
Ca  0.4369  0.6722  0.8738
Ca  0.6512  0.0283  0.3024
Ca  0.0631  0.7984  0.1262
Ca  0.1512  0.2741  0.3024
Ca  0.5631  0.3278  0.1262
Ca  0.9369  0.2016  0.8738
Ca  0.3488  0.9717  0.6976
Mg  0.9452  0.6952  0.3904
Mg  0.5548  0.3048  0.6096
Mg  0.4452  0.6952  0.3904
Mg  0.0548  0.3048  0.6096



Entry 6:
Density functional theory data (PBE) for a relaxed CaMg3Ag crystal.

Properties
**Relative energy among the computed polymorphs**: 0 meV/atom
**Crystal system**: orthorhombic
**Energy of formation**: -0.171 eV/atom
**Space group**: No. 65

Cell lengths 4.4848, 7.6914, 7.6914 Å; angles 110.90, 90.00, 90.00 degrees
Sites, in units of the cell vectors:
Ca  0.5000  0.7142  0.2858
Ca  0.5000  0.2858  0.7142
Ag  0.5000  0.6869  0.6869
Ag  0.5000  0.3131  0.3131
Mg  0.5000  0.0000  0.0000
Mg  0.0000  0.0645  0.3185
Mg  0.0000  0.3185  0.0645
Mg  0.0000  0.5000  0.5000
Mg  0.0000  0.6815  0.9355
Mg  0.0000  0.9355  0.6815



Entry 7:
Density functional theory data (PBE) for a relaxed CaMg8Ag4 crystal.

Properties
**Crystal system**: tetragonal
**Energy of formation**: -0.180 eV/atom
**Space group**: No. 139

Cell lengths 5.7027, 7.5498, 7.5498 Å; angles 81.80, 67.81, 67.81 degrees
Sites, in units of the cell vectors:
Mg  0.6560  0.3440  0.3440
Mg  0.0000  0.6560  0.3440
Mg  0.3440  0.6560  0.6560
Mg  0.5000  0.7832  0.2168
Mg  0.2832  0.2168  0.2168
Mg  0.7168  0.7832  0.7832
Mg  0.0000  0.3440  0.6560
Mg  0.5000  0.2168  0.7832
Ag  0.0000  0.5000  0.0000
Ag  0.0000  0.0000  0.5000
Ag  0.5000  0.0000  0.5000
Ag  0.5000  0.5000  0.0000
Ca  0.0000  0.0000  0.0000



Entry 8:
Density functional theory data (PBE) for a relaxed Ca3Mg4Ag4 crystal.

Properties
**Relative energy among the computed polymorphs**: 0 meV/atom
**Crystal system**: orthorhombic
**Energy of formation**: -0.253 eV/atom
**Space group**: No. 71

Cell lengths 4.4770, 7.9808, 8.8504 Å; angles 116.80, 104.65, 90.00 degrees
Sites, in units of the cell vectors:
Ca  0.1209  0.1209  0.2417
Ca  0.8791  0.8791  0.7583
Ca  0.0000  0.5000  0.0000
Ag  0.2226  0.7226  0.4453
Ag  0.5000  0.8163  0.0000
Ag  0.5000  0.1837  0.0000
Ag  0.7774  0.2774  0.5547
Mg  0.6745  0.4798  0.3490
Mg  0.6745  0.8693  0.3490
Mg  0.3255  0.1307  0.6510
Mg  0.3255  0.5202  0.6510



Entry 9:
Density functional theory data (PBE) for a relaxed CaMgAg2 crystal.

Properties
**Crystal system**: tetragonal
**Energy of formation**: -0.176 eV/atom
**Space group**: No. 119

Cell lengths 5.5402, 5.5402, 5.5402 Å; angles 133.56, 133.56, 67.77 degrees
Sites, in units of the cell vectors:
Ag  0.2500  0.7500  0.5000
Ag  0.0000  0.0000  0.0000
Ca  0.5000  0.5000  0.0000
Mg  0.7500  0.2500  0.5000



Entry 10:
Density functional theory data (PBE) for a relaxed Ca2MgAg crystal.

Properties
**Crystal system**: trigonal
**Energy of formation**: -0.018 eV/atom
**Space group**: No. 160

Cell lengths 9.7876, 9.7876, 9.7876 Å; angles 23.22, 23.22, 23.22 degrees
Sites, in units of the cell vectors:
Ca  0.0212  0.0212  0.0212
Ca  0.2389  0.2389  0.2389
Ag  0.7599  0.7599  0.7599
Mg  0.4800  0.4800  0.4800



Entry 11:
Density functional theory data (PBE) for a relaxed CaMg4Ag2 crystal.

Properties
**Relative energy among the computed polymorphs**: 0 meV/atom
**Crystal system**: tetragonal
**Energy of formation**: -0.199 eV/atom
**Space group**: No. 136

Cell lengths 4.4838, 8.5210, 8.5210 Å; angles 90.00, 90.00, 90.00 degrees
Sites, in units of the cell vectors:
Ag  0.0000  0.7876  0.2124
Ag  0.5000  0.7124  0.7124
Ag  0.5000  0.2876  0.2876
Ag  0.0000  0.2124  0.7876
Mg  0.0000  0.0922  0.3425
Mg  0.0000  0.6575  0.9078
Mg  0.0000  0.9078  0.6575
Mg  0.5000  0.5922  0.1575
Mg  0.5000  0.1575  0.5922
Mg  0.5000  0.4078  0.8425
Mg  0.0000  0.3425  0.0922
Mg  0.5000  0.8425  0.4078
Ca  0.5000  0.0000  0.0000
Ca  0.0000  0.5000  0.5000



Entry 12:
Density functional theory data (PBE) for a relaxed Ca4MgAg2 crystal.

Properties
**Relative energy among the computed polymorphs**: 40 meV/atom
**Crystal system**: trigonal
**Energy of formation**: -0.120 eV/atom
**Space group**: No. 166

Cell lengths 5.2198, 5.2198, 10.0702 Å; angles 74.98, 74.98, 60.00 degrees
Sites, in units of the cell vectors:
Ag  0.4054  0.4054  0.7839
Ag  0.5946  0.5946  0.2161
Mg  0.5000  0.5000  0.5000
Ca  0.1156  0.1156  0.6531
Ca  0.7053  0.7053  0.8841
Ca  0.2947  0.2947  0.1159
Ca  0.8844  0.8844  0.3469